one | AgAsCSe2 after structural relaxation, computed with PBE-GGA.

a b c (Å): 4.5727 4.5727 4.2684
angles (deg): 90.00 90.00 90.00
Atoms (fractional coordinates):
C: 0.0000 0.0000 0.0000
Ag: 0.5000 0.5000 0.5000
Se: 0.5000 0.0000 0.0000
Se: 0.0000 0.5000 0.0000
As: 0.0000 0.0000 0.5000

Properties
Space-group type = P4/mmm, No. 123
V = 17.85 Å³ per atom
DOS at the Fermi energy = 3.06 states/eV/cell
Magnetization = 0.00 μB/f.u.

---

two | AgAsCSe2 after structural relaxation, computed with PBE-GGA.

a b c (Å): 5.0971 5.0971 4.9709
angles (deg): 90.00 90.00 90.00
Each line ends with the local moment (μB).
Atoms (fractional coordinates):
C: 0.5000 0.5000 0.5000  0.77
Se: 0.0000 0.5000 0.0000  -0.18
Se: 0.5000 0.0000 0.0000  -0.18
As: 0.0000 0.0000 0.5000  -0.33
Ag: 0.0000 0.0000 0.0000  -0.01

Properties
Space-group type = P4/mmm, No. 123
V = 25.83 Å³ per atom
DOS at the Fermi energy = 5.38 states/eV/cell
Magnetization = 0.33 μB/f.u.

---

Energetically preferred structure: one | next structure: +96.0 kJ/mol of atoms

---

one | AgAs2CSe after structural relaxation, computed with PBE-GGA.

a b c (Å): 4.3848 4.3848 4.5219
angles (deg): 90.00 90.00 90.00
Atoms (fractional coordinates):
C: 0.0000 0.0000 0.0000
As: 0.0000 0.5000 0.0000
As: 0.5000 0.0000 0.0000
Se: 0.0000 0.0000 0.5000
Ag: 0.5000 0.5000 0.5000

Properties
Space-group type = P4/mmm, No. 123
V = 17.39 Å³ per atom
DOS at the Fermi energy = 2.72 states/eV/cell
Magnetization = 0.00 μB/f.u.

---

two | AgAs2CSe after structural relaxation, computed with PBE-GGA.

a b c (Å): 4.9984 4.9984 5.0811
angles (deg): 90.00 90.00 90.00
Each line ends with the local moment (μB).
Atoms (fractional coordinates):
C: 0.5000 0.5000 0.5000  0.75
As: 0.5000 0.0000 0.0000  -0.22
As: 0.0000 0.5000 0.0000  -0.22
Ag: 0.0000 0.0000 0.0000  -0.01
Se: 0.0000 0.0000 0.5000  -0.03

Properties
Space-group type = P4/mmm, No. 123
V = 25.39 Å³ per atom
DOS at the Fermi energy = 4.95 states/eV/cell
Magnetization = 0.59 μB/f.u.

---

Energetically preferred structure: one | next structure: +104.1 kJ/mol of atoms

---

one | CaAg3As after structural relaxation, computed with PBE-GGA.

a b c (Å): 5.2533 5.2533 5.2533
angles (deg): 90.00 90.00 90.00
Atoms (fractional coordinates):
Ag: 0.0000 0.0000 0.5000
Ag: 0.0000 0.5000 0.0000
Ag: 0.5000 0.0000 0.0000
Ca: 0.0000 0.0000 0.0000
As: 0.5000 0.5000 0.5000

Properties
Space-group type = Pm-3m, No. 221
V = 29.00 Å³ per atom
DOS at the Fermi energy = 2.49 states/eV/cell
Magnetization = 0.00 μB/f.u.

---

two | CaAg3As after structural relaxation, computed with PBE-GGA.

a b c (Å): 5.0247 5.0247 5.0247
angles (deg): 90.00 90.00 90.00
Atoms (fractional coordinates):
Ag: 0.5000 0.0000 0.0000
Ag: 0.0000 0.0000 0.5000
Ag: 0.0000 0.5000 0.0000
Ca: 0.5000 0.5000 0.5000
As: 0.0000 0.0000 0.0000

Properties
Space-group type = Pm-3m, No. 221
V = 25.37 Å³ per atom
DOS at the Fermi energy = 2.96 states/eV/cell
Magnetization = 0.00 μB/f.u.

---

Energetically preferred structure: two | next structure: +97.1 kJ/mol of atoms

---

one | CaAgAsSe2 after structural relaxation, computed with PBE-GGA.

a b c (Å): 5.4101 5.4101 5.4120
angles (deg): 90.00 90.00 90.00
Atoms (fractional coordinates):
Se: 0.5000 0.0000 0.0000
Se: 0.0000 0.5000 0.0000
Ag: 0.5000 0.5000 0.5000
Ca: 0.0000 0.0000 0.0000
As: 0.0000 0.0000 0.5000

Properties
Space-group type = P4/mmm, No. 123
V = 31.68 Å³ per atom
DOS at the Fermi energy = 5.57 states/eV/cell
Magnetization = 0.00 μB/f.u.

---

two | CaAgAsSe2 after structural relaxation, computed with PBE-GGA.

a b c (Å): 5.2332 5.2332 4.8567
angles (deg): 90.00 90.00 90.00
Atoms (fractional coordinates):
Se: 0.0000 0.5000 0.0000
Se: 0.5000 0.0000 0.0000
Ca: 0.5000 0.5000 0.5000
Ag: 0.0000 0.0000 0.0000
As: 0.0000 0.0000 0.5000

Properties
Space-group type = P4/mmm, No. 123
V = 26.60 Å³ per atom
DOS at the Fermi energy = 3.69 states/eV/cell
Magnetization = 0.00 μB/f.u.

---

Energetically preferred structure: two | next structure: +49.9 kJ/mol of atoms

---

one | CaSiAgAs2 after structural relaxation, computed with PBE-GGA.

a b c (Å): 5.3268 5.3272 5.3268
angles (deg): 90.00 90.00 90.00
Each line ends with the local moment (μB).
Atoms (fractional coordinates):
As: 0.0000 0.0000 0.5000  -0.04
As: 0.5000 0.0000 0.0000  0.02
Ca: 0.0000 0.0000 0.0000  0.08
Si: 0.0000 0.5000 0.0000  0.19
Ag: 0.5000 0.5000 0.5000  0.01

Properties
Space-group type = P4/mmm, No. 123
V = 30.23 Å³ per atom
DOS at the Fermi energy = 3.90 states/eV/cell
Magnetization = 0.66 μB/f.u.

---

two | CaSiAgAs2 after structural relaxation, computed with PBE-GGA.

a b c (Å): 4.9543 4.7730 4.9543
angles (deg): 90.00 90.00 90.00
Atoms (fractional coordinates):
As: 0.5000 0.0000 0.0000
As: 0.0000 0.0000 0.5000
Si: 0.0000 0.0000 0.0000
Ca: 0.5000 0.5000 0.5000
Ag: 0.0000 0.5000 0.0000

Properties
Space-group type = P4/mmm, No. 123
V = 23.43 Å³ per atom
DOS at the Fermi energy = 3.40 states/eV/cell
Magnetization = 0.00 μB/f.u.

---

Energetically preferred structure: two | next structure: +99.6 kJ/mol of atoms

---

one | Cd2Ag2As after structural relaxation, computed with PBE-GGA.

a b c (Å): 8.0821 8.0821 3.1434
angles (deg): 90.00 90.00 90.00
Atoms (fractional coordinates):
Cd: 0.6728 0.8272 0.5000
Cd: 0.3272 0.1728 0.5000
Cd: 0.8272 0.3272 0.5000
Cd: 0.1728 0.6728 0.5000
As: 0.5000 0.5000 0.0000
As: 0.0000 0.0000 0.0000
Ag: 0.8744 0.6256 0.0000
Ag: 0.3744 0.8744 0.0000
Ag: 0.6256 0.1256 0.0000
Ag: 0.1256 0.3744 0.0000

Properties
Space-group type = P4/mbm, No. 127
V = 20.53 Å³ per atom
DOS at the Fermi energy = 4.42 states/eV/cell
Magnetization = 0.00 μB/f.u.

---

two | Cd2Ag2As after structural relaxation, computed with PBE-GGA.

a b c (Å): 3.9135 3.9135 7.5509
angles (deg): 74.98 74.98 90.00
Atoms (fractional coordinates):
Ag: 0.4041 0.4041 0.1918
Ag: 0.5959 0.5959 0.8082
Cd: 0.2500 0.7500 0.5000
Cd: 0.7500 0.2500 0.5000
As: 0.0000 0.0000 0.0000

Properties
Space-group type = I4/mmm, No. 139
V = 21.52 Å³ per atom
DOS at the Fermi energy = 2.06 states/eV/cell
Magnetization = 0.00 μB/f.u.

---

three | Cd2Ag2As after structural relaxation, computed with PBE-GGA.

a b c (Å): 3.8352 3.8352 7.8688
angles (deg): 75.90 75.90 90.00
Atoms (fractional coordinates):
Ag: 0.7500 0.2500 0.5000
Ag: 0.2500 0.7500 0.5000
As: 0.0000 0.0000 0.0000
Cd: 0.5982 0.5982 0.8037
Cd: 0.4018 0.4018 0.1963

Properties
Space-group type = I4/mmm, No. 139
V = 21.73 Å³ per atom
DOS at the Fermi energy = 1.97 states/eV/cell
Magnetization = 0.00 μB/f.u.

---

Energetically preferred structure: one | next structure: +1.2 kJ/mol of atoms

---

one | AgAs2Cl after structural relaxation, computed with PBE-GGA.

a b c (Å): 5.5670 3.0595 5.5107
angles (deg): 63.14 90.00 90.00
Atoms (fractional coordinates):
Ag: 0.5000 0.9417 0.6320
As: 0.5000 0.9458 0.1232
As: 0.0000 0.9514 0.1407
Cl: 0.0000 0.6610 0.6042

Properties
Space-group type = Pm, No. 6
V = 20.93 Å³ per atom
DOS at the Fermi energy = 1.55 states/eV/cell
Magnetization = 0.00 μB/f.u.

---

two | AgAs2Cl after structural relaxation, computed with PBE-GGA.

a b c (Å): 4.7770 4.7770 4.7770
angles (deg): 60.00 60.00 60.00
Atoms (fractional coordinates):
Cl: 0.0000 0.0000 0.0000
Ag: 0.5000 0.5000 0.5000
As: 0.2500 0.2500 0.2500
As: 0.7500 0.7500 0.7500

Properties
Space-group type = Fm-3m, No. 225
V = 19.27 Å³ per atom
DOS at the Fermi energy = 2.34 states/eV/cell
Magnetization = 0.00 μB/f.u.

---

three | AgAs2Cl after structural relaxation, computed with PBE-GGA.

a b c (Å): 4.7666 4.7651 4.7642
angles (deg): 68.78 73.99 111.24
Atoms (fractional coordinates):
Cl: 0.0000 0.5000 0.5000
As: 0.0000 0.0000 0.0000
As: 0.5000 0.0000 0.5000
Ag: 0.5000 0.5000 0.0000

Properties
Space-group type = I4/mmm, No. 139
V = 20.77 Å³ per atom
DOS at the Fermi energy = 1.74 states/eV/cell
Magnetization = 0.00 μB/f.u.

---

Energetically preferred structure: one | next structure: +11.7 kJ/mol of atoms

---

one | AgAsPCl2 after structural relaxation, computed with PBE-GGA.

a b c (Å): 4.8192 4.8192 5.2274
angles (deg): 90.00 90.00 90.00
Each line ends with the local moment (μB).
Atoms (fractional coordinates):
P: 0.0000 0.0000 0.5000  -0.42
Ag: 0.0000 0.0000 0.0000  -0.05
Cl: 0.5000 0.0000 0.0000  -0.02
Cl: 0.0000 0.5000 0.0000  -0.02
As: 0.5000 0.5000 0.5000  0.62

Properties
Space-group type = P4/mmm, No. 123
V = 24.28 Å³ per atom
DOS at the Fermi energy = 4.30 states/eV/cell
Magnetization = 0.29 μB/f.u.

---

two | AgAsPCl2 after structural relaxation, computed with PBE-GGA.

a b c (Å): 4.9901 4.9901 4.9550
angles (deg): 90.00 90.00 90.00
Each line ends with the local moment (μB).
Atoms (fractional coordinates):
Cl: 0.5000 0.0000 0.0000  0.03
Cl: 0.0000 0.5000 0.0000  0.03
P: 0.0000 0.0000 0.5000  0.32
Ag: 0.5000 0.5000 0.5000  0.01
As: 0.0000 0.0000 0.0000  -0.04

Properties
Space-group type = P4/mmm, No. 123
V = 24.68 Å³ per atom
DOS at the Fermi energy = 2.38 states/eV/cell
Magnetization = 0.73 μB/f.u.

---

Energetically preferred structure: two | next structure: +29.8 kJ/mol of atoms

---

one | CoAgAs after structural relaxation, computed with PBE-GGA.

a b c (Å): 3.9427 3.9427 3.5295
angles (deg): 90.00 90.00 120.00
Atoms (fractional coordinates):
Co: 0.3333 0.6667 0.5003
As: 0.6667 0.3333 0.4998
Ag: 0.0000 0.0000 0.9999

Properties
Space-group type = P-6m2, No. 187
V = 15.84 Å³ per atom
DOS at the Fermi energy = 1.45 states/eV/cell
Magnetization = 0.00 μB/f.u.

---

two | CoAgAs after structural relaxation, computed with PBE-GGA.

a b c (Å): 4.1316 4.1316 4.1316
angles (deg): 60.00 60.00 60.00
Each line ends with the local moment (μB).
Atoms (fractional coordinates):
As: 0.5000 0.5000 0.5000  -0.01
Ag: 0.0000 0.0000 0.0000  0.04
Co: 0.7500 0.7500 0.7500  0.97

Properties
Space-group type = F-43m, No. 216
V = 16.62 Å³ per atom
DOS at the Fermi energy = 2.82 states/eV/cell
Magnetization = 0.99 μB/f.u.

---

Energetically preferred structure: one | next structure: +8.9 kJ/mol of atoms

---

one | CoAg3As after structural relaxation, computed with PBE-GGA.

a b c (Å): 4.8870 4.8870 4.8870
angles (deg): 90.00 90.00 90.00
Each line ends with the local moment (μB).
Atoms (fractional coordinates):
Ag: 0.0000 0.5000 0.0000  0.01
Ag: 0.0000 0.0000 0.5000  0.00
Ag: 0.5000 0.0000 0.0000  0.02
As: 0.0000 0.0000 0.0000  0.01
Co: 0.5000 0.5000 0.5000  2.08

Properties
Space-group type = Pm-3m, No. 221
V = 23.34 Å³ per atom
DOS at the Fermi energy = 3.10 states/eV/cell
Magnetization = 2.17 μB/f.u.

---

two | CoAg3As after structural relaxation, computed with PBE-GGA.

a b c (Å): 4.7699 4.7699 4.7699
angles (deg): 90.00 90.00 90.00
Each line ends with the local moment (μB).
Atoms (fractional coordinates):
Ag: 0.0000 0.0000 0.5000  0.06
Ag: 0.0000 0.5000 0.0000  0.03
Ag: 0.5000 0.0000 0.0000  -0.01
Co: 0.0000 0.0000 0.0000  1.82
As: 0.5000 0.5000 0.5000  0.13

Properties
Space-group type = Pm-3m, No. 221
V = 21.71 Å³ per atom
DOS at the Fermi energy = 5.81 states/eV/cell
Magnetization = 2.09 μB/f.u.

---

Energetically preferred structure: one | next structure: +9.8 kJ/mol of atoms

---

one | CoAgAsSe2 after structural relaxation, computed with PBE-GGA.

a b c (Å): 4.9120 4.9120 4.3195
angles (deg): 90.00 90.00 90.00
Atoms (fractional coordinates):
Ag: 0.5000 0.5000 0.5000
Se: 0.5000 0.0000 0.0000
Se: 0.0000 0.5000 0.0000
Co: 0.0000 0.0000 0.0000
As: 0.0000 0.0000 0.5000

Properties
Space-group type = P4/mmm, No. 123
V = 20.84 Å³ per atom
DOS at the Fermi energy = 5.14 states/eV/cell
Magnetization = 0.00 μB/f.u.

---

two | CoAgAsSe2 after structural relaxation, computed with PBE-GGA.

a b c (Å): 5.1032 5.1032 4.8656
angles (deg): 90.00 90.00 90.00
Each line ends with the local moment (μB).
Atoms (fractional coordinates):
As: 0.0000 0.0000 0.5000  -0.06
Se: 0.0000 0.5000 0.0000  0.07
Se: 0.5000 0.0000 0.0000  0.07
Ag: 0.0000 0.0000 0.0000  -0.01
Co: 0.5000 0.5000 0.5000  2.21

Properties
Space-group type = P4/mmm, No. 123
V = 25.34 Å³ per atom
DOS at the Fermi energy = 6.63 states/eV/cell
Magnetization = 2.34 μB/f.u.

---

Energetically preferred structure: one | next structure: +78.2 kJ/mol of atoms

---

one | CrAgAs after structural relaxation, computed with PBE-GGA.

a b c (Å): 4.3595 4.3595 4.3595
angles (deg): 60.00 60.00 60.00
Each line ends with the local moment (μB).
Atoms (fractional coordinates):
Ag: 0.5000 0.5000 0.5000  0.02
As: 0.2500 0.2500 0.2500  -0.11
Cr: 0.0000 0.0000 0.0000  3.68

Properties
Space-group type = F-43m, No. 216
V = 19.53 Å³ per atom
DOS at the Fermi energy = 1.21 states/eV/cell
Magnetization = 4.00 μB/f.u.

---

two | CrAgAs after structural relaxation, computed with PBE-GGA.

a b c (Å): 5.3343 5.3343 5.3343
angles (deg): 143.70 143.70 52.27
Each line ends with the local moment (μB).
Atoms (fractional coordinates):
Cr: 0.6979 0.6979 0.0000  3.03
Ag: 0.0045 0.0045 0.0000  0.04
As: 0.2975 0.2975 0.0000  -0.14

Properties
Space-group type = I4mm, No. 107
V = 17.63 Å³ per atom
DOS at the Fermi energy = 1.61 states/eV/cell
Magnetization = 3.18 μB/f.u.

---

three | CrAgAs after structural relaxation, computed with PBE-GGA.

a b c (Å): 4.1191 4.1191 3.7112
angles (deg): 90.00 90.00 120.00
Each line ends with the local moment (μB).
Atoms (fractional coordinates):
Ag: 0.0000 0.0000 0.0192  0.00
As: 0.3333 0.6667 0.3889  -0.13
Cr: 0.6667 0.3333 0.5918  3.24

Properties
Space-group type = P3m1, No. 156
V = 18.18 Å³ per atom
DOS at the Fermi energy = 1.81 states/eV/cell
Magnetization = 3.34 μB/f.u.

---

Energetically preferred structure: one | next structure: +3.1 kJ/mol of atoms